Record 1
Mg4NiRh, optimized geometry, DFT GGA-PBE; ΔE to the lowest computed polymorph = 181 meV/atom; energy of formation from the pure elements = -0.0948 eV/atom; space group = P4/mmm, No. 123; total moment = 0.0 μB per formula unit
1.0
-2.301 0.186 -3.690
2.979 -2.478 -1.984
-3.125 -5.110 1.690
Mg Ni Rh
4 1 1
Cartesian
1.042 -3.646 -3.408
-0.520 -6.201 -2.564
-0.858 -5.055 0.272
0.702 -2.500 -0.571
1.411 -5.016 -1.141
-2.792 -6.240 -1.149



Record 2
Hg3WCl, optimized geometry, DFT GGA-PBE; ΔE to the lowest computed polymorph = 729 meV/atom; space group = Pm-3m, No. 221; formation energy from raw total energies = 1.556 eV/atom; total moment = 5.0 μB per formula unit
1.0
-0.218 4.596 3.038
-5.216 -1.152 1.368
1.775 -2.820 4.393
Hg W Cl
3 1 1
Cartesian
-2.608 -0.576 0.684
0.887 -1.410 2.197
-0.109 2.298 1.519
-1.830 0.312 4.400
0.000 0.000 0.000



Record 3
InOsBr2, optimized geometry, DFT GGA-PBE; ΔE to the lowest computed polymorph = 430 meV/atom; space group = Cmmm, No. 65; formation energy from raw total energies = 0.612 eV/atom; total moment = 0.0 μB per formula unit
1.0
-2.007 1.676 -2.190
-0.896 -0.820 3.187
3.675 8.662 3.262
Os Br In
1 2 1
Cartesian
1.305 6.925 2.945
3.478 8.199 3.088
2.034 4.794 1.806
-0.533 2.594 1.314



Record 4
Cs2HgS, optimized geometry, DFT GGA-PBE; ΔE to the lowest computed polymorph = 0 meV/atom; space group = R3m, No. 160; formation energy from raw total energies = -0.719 eV/atom; total moment = 0.0 μB per formula unit
1.0
-4.111 -3.694 -0.712
0.567 -5.203 1.914
-4.280 -0.819 7.154
Cs Hg S
2 1 1
Cartesian
-3.763 -1.177 6.026
-1.772 -2.556 1.688
-3.688 -5.013 3.689
-2.515 -5.826 1.131



Record 5
Cd2AgMo, optimized geometry, DFT GGA-PBE; ΔE to the lowest computed polymorph = 92 meV/atom; energy of formation from the pure elements = 0.3216 eV/atom; space group = Cmmm, No. 65; total moment = 0.0 μB per formula unit
1.0
5.359 0.000 -0.093
-1.901 5.011 -0.093
0.048 0.069 2.759
Ag Cd Mo
1 2 1
Cartesian
-0.927 2.540 1.333
0.000 0.000 0.000
1.729 2.505 -0.093
2.704 0.035 1.333



Record 6
MgMn2Cl, optimized geometry, DFT GGA-PBE; ΔE to the lowest computed polymorph = 402 meV/atom; space group = Cmmm, No. 65; formation energy from raw total energies = 0.279 eV/atom; total moment = 8.5 μB per formula unit
1.0
5.215 0.008 0.000
-2.463 4.597 0.000
0.000 0.000 3.129
Cl Mg Mn
1 1 2
Cartesian
2.608 0.004 1.564
-1.231 2.298 1.564
0.000 0.000 0.000
1.376 2.302 0.000



Record 7
SbSeS, optimized geometry, DFT GGA-PBE; ΔE to the lowest computed polymorph = 0 meV/atom; space group = P3m1, No. 156; formation energy from raw total energies = -0.116 eV/atom; total moment = 0.0 μB per formula unit
1.0
-3.081 -2.190 -0.468
3.265 -0.910 -1.737
1.810 -3.686 5.333
Sb S Se
1 1 1
Cartesian
-0.376 -2.964 0.846
0.176 -0.359 0.519
2.194 -3.464 1.764



Record 8
HoTe2P2Pd7, optimized geometry, DFT GGA-PBE; space group = C2/m, No. 12; formation energy from raw total energies = -0.558 eV/atom; total moment = 0.0 μB per formula unit
1.0
4.003 -0.002 -0.002
0.003 4.003 -0.002
1.990 1.988 14.506
Ho Te P Pd
1 2 2 7
Cartesian
0.000 0.000 0.000
4.003 3.999 6.040
1.992 1.989 8.463
3.991 3.986 11.060
2.005 2.002 3.442
2.003 2.000 -0.002
2.003 2.000 5.749
3.992 3.988 8.753
4.005 2.000 2.172
2.005 4.003 2.172
3.990 1.985 12.330
1.990 3.988 12.330



Record 9
Nd4TmSn2, optimized geometry, DFT GGA-PBE; energy of formation from the pure elements = -0.2632 eV/atom; space group = R-3m, No. 166; total moment = 0.0 μB per formula unit
1.0
-3.847 -1.428 -3.632
0.691 -4.455 -3.115
-5.292 -7.199 4.303
Nd Tm Sn
4 1 2
Cartesian
-6.728 -10.296 -1.226
-4.739 -7.838 -4.301
-1.720 -2.786 -1.217
-3.709 -5.244 1.857
-4.224 -6.541 -1.222
-2.877 -4.877 -3.303
-5.571 -8.205 0.860



Record 10
TbLuAlAu, optimized geometry, DFT GGA-PBE; energy of formation from the pure elements = -0.5744 eV/atom; space group = F-43m, No. 216; total moment = 0.0 μB per formula unit
1.0
5.089 0.000 0.000
2.544 4.407 0.000
2.544 1.469 4.155
Tb Lu Au Al
1 1 1 1
Cartesian
7.633 4.407 3.116
2.544 1.469 1.039
5.089 2.938 2.078
0.000 0.000 0.000



Record 11
La2Tb3Tm8, optimized geometry, DFT GGA-PBE; energy of formation from the pure elements = 0.2532 eV/atom; space group = C2/m, No. 12; total moment = 0.0 μB per formula unit
1.0
0.483 -1.121 5.315
5.353 -5.154 -1.573
4.730 9.997 1.676
La Tb Tm
2 3 8
Cartesian
3.791 2.997 3.080
6.775 0.725 2.338
0.241 -0.561 2.658
1.556 -1.498 -0.457
3.797 -3.656 -1.116
5.007 -0.243 -0.504
5.558 3.965 5.922
2.314 0.713 5.535
8.251 3.008 -0.117
7.215 4.184 3.021
4.932 6.383 3.692
5.633 -2.661 1.726
3.350 -0.462 2.397



Record 12
Nd3Tl3Zn2, optimized geometry, DFT GGA-PBE; energy of formation from the pure elements = -0.3240 eV/atom; space group = Cmcm, No. 63; total moment = 0.4 μB per formula unit
1.0
-2.083 -3.843 -1.733
5.006 1.635 -3.264
9.002 -9.061 9.266
Nd Tl Zn
6 6 4
Cartesian
5.764 -5.690 -0.693
8.676 -8.109 7.549
3.249 -3.159 -3.281
6.161 -5.578 4.960
2.345 -4.268 0.265
9.580 -6.999 4.002
4.115 -6.182 2.381
11.633 -8.934 5.822
0.292 -2.334 -1.554
7.810 -5.086 1.887
5.081 -2.469 -0.633
6.844 -8.799 4.901
9.303 -10.171 4.989
5.181 -3.672 1.913
6.744 -7.596 2.355
2.622 -1.096 -0.721



Record 13
YTm2Zr, optimized geometry, DFT GGA-PBE; ΔE to the lowest computed polymorph = 11 meV/atom; energy of formation from the pure elements = 0.0635 eV/atom; space group = R3m, No. 160; total moment = 0.1 μB per formula unit
1.0
-1.613 3.045 -0.018
-3.341 0.185 0.825
1.063 2.577 10.922
Y Tm Zr
1 2 1
Cartesian
-1.949 2.902 5.849
0.426 2.225 8.421
-1.012 1.430 2.776
-3.300 2.155 0.548



Record 14
Dy3ErSc6, optimized geometry, DFT GGA-PBE; ΔE to the lowest computed polymorph = 246 meV/atom; energy of formation from the pure elements = 0.4040 eV/atom; space group = R3, No. 146; total moment = 0.0 μB per formula unit
1.0
8.164 0.000 4.332
2.933 7.619 4.332
2.021 1.388 6.050
Dy Er Sc
3 1 6
Cartesian
5.816 3.994 8.756
7.068 4.853 6.397
2.533 1.739 5.085
10.353 7.109 10.066
9.777 4.847 7.861
5.315 7.383 6.417
6.082 2.308 4.975
3.481 4.273 6.556
7.963 1.714 8.002
7.202 6.816 9.457



Record 15
HfBeIrPd, optimized geometry, DFT GGA-PBE; energy of formation from the pure elements = -0.6158 eV/atom; space group = F-43m, No. 216; total moment = 0.0 μB per formula unit
1.0
-2.670 -1.795 -3.008
-0.034 -4.364 -0.590
-3.485 -2.368 1.282
Be Ir Hf Pd
1 1 1 1
Cartesian
-1.547 -2.132 -0.579
0.000 0.000 0.000
-4.641 -6.395 -1.737
-3.094 -4.263 -1.158



Record 16
BaSn2Te2, optimized geometry, DFT GGA-PBE; ΔE to the lowest computed polymorph = 107 meV/atom; space group = P4/mbm, No. 127; formation energy from raw total energies = -0.499 eV/atom; total moment = 0.0 μB per formula unit
1.0
8.946 0.000 0.000
0.000 8.946 0.000
0.000 0.000 4.272
Te Ba Sn
4 2 4
Cartesian
1.850 6.323 2.136
6.323 7.096 2.136
7.096 2.623 2.136
2.623 1.850 2.136
0.000 0.000 0.000
4.473 4.473 0.000
3.386 7.859 0.000
7.859 5.560 0.000
5.560 1.087 0.000
1.087 3.386 0.000



Record 17
K2NpCl4, optimized geometry, DFT GGA-PBE; space group = I4/mmm, No. 139; formation energy from raw total energies = -1.593 eV/atom; total moment = 5.0 μB per formula unit
1.0
5.490 0.000 0.000
0.000 5.490 0.000
2.745 2.745 8.090
Np K Cl
1 2 4
Cartesian
0.000 0.000 0.000
5.490 5.490 5.848
2.745 2.745 2.242
5.490 5.490 2.795
2.745 2.745 5.295
0.000 2.745 0.000
2.745 0.000 0.000



Record 18
SiMo2P, optimized geometry, DFT GGA-PBE; ΔE to the lowest computed polymorph = 407 meV/atom; space group = C2/m, No. 12; formation energy from raw total energies = -0.062 eV/atom; total moment = 0.0 μB per formula unit
1.0
-0.997 1.389 3.905
-0.334 -1.500 3.976
4.530 1.087 1.913
Mo P Si
2 1 1
Cartesian
4.461 1.074 1.998
1.668 0.502 4.812
2.399 0.732 7.346
0.800 0.244 2.449



Record 19
KPtSe2, optimized geometry, DFT GGA-PBE; space group = Pmm2, No. 25; formation energy from raw total energies = -0.253 eV/atom; total moment = 0.0 μB per formula unit
1.0
5.314 0.000 0.000
0.000 2.951 -0.006
0.000 0.011 5.470
K Pt Se
1 1 2
Cartesian
0.000 1.480 2.288
2.657 2.960 4.584
0.000 2.961 4.985
2.657 0.004 1.805



Record 20
Sm3Si4Pd7, optimized geometry, DFT GGA-PBE; space group = C2/m, No. 12; formation energy from raw total energies = -0.897 eV/atom; total moment = 0.0 μB per formula unit
1.0
3.956 0.000 0.998
1.439 7.553 2.634
-0.002 0.041 8.349
Sm Si Pd
3 4 7
Cartesian
1.537 1.347 2.248
3.856 6.246 9.734
0.719 3.797 5.492
3.267 3.356 3.730
2.126 4.238 8.252
4.807 6.750 5.964
0.586 0.844 6.017
2.437 6.455 7.021
2.291 1.846 7.599
3.882 3.192 9.632
2.957 1.139 4.961
1.511 4.402 2.350
0.000 0.000 0.000
3.102 5.747 4.382



Record 21
Pm2Th4Pb3N2, optimized geometry, DFT GGA-PBE; space group = I4/mmm, No. 139; formation energy from raw total energies = -0.756 eV/atom; total moment = 0.0 μB per formula unit
1.0
-1.150 -1.540 -4.438
4.025 -2.680 -0.112
-8.109 -8.132 7.559
Pm Th Pb N
2 4 3 2
Cartesian
-4.058 -6.229 3.213
-1.177 -6.123 -0.205
-3.531 -9.849 4.333
-6.118 -9.280 2.171
0.883 -3.073 0.838
-1.704 -2.503 -1.325
0.000 0.000 0.000
-2.396 -3.678 1.897
-2.838 -8.674 1.111
-5.305 -8.144 4.201
0.071 -4.208 -1.193



Record 22
Sm8ZnRh3Br4, optimized geometry, DFT GGA-PBE; space group = C2/m, No. 12; formation energy from raw total energies = -0.959 eV/atom; total moment = 0.0 μB per formula unit
1.0
8.253 0.000 0.000
0.000 9.031 0.551
-4.126 -4.128 5.831
Sm Zn Rh Br
8 1 3 4
Cartesian
-1.986 2.337 5.974
0.000 4.324 3.167
0.000 0.513 3.275
1.986 2.337 5.974
2.140 2.566 0.407
4.126 4.390 3.107
4.126 0.579 3.214
6.112 2.566 0.407
0.000 4.516 0.275
4.126 4.516 0.275
2.063 2.451 3.191
-2.063 2.451 3.191
4.126 0.000 0.000
2.063 -2.064 2.915
0.000 0.000 0.000
-2.063 -2.064 2.915



Record 23
Cu2Sn2Rh, optimized geometry, DFT GGA-PBE; ΔE to the lowest computed polymorph = 0 meV/atom; energy of formation from the pure elements = 0.0454 eV/atom; space group = P4/mbm, No. 127; total moment = 0.0 μB per formula unit
1.0
-6.679 1.817 -0.125
-1.705 -6.405 -1.999
-0.329 -0.975 3.402
Rh Sn Cu
2 4 4
Cartesian
0.000 0.000 0.000
-4.192 -2.294 -1.062
-2.515 -4.510 0.322
-6.098 -4.515 -0.026
-6.198 -1.053 0.956
-2.615 -1.048 1.304
-4.002 -4.926 -1.798
-6.913 -2.408 -1.358
-4.382 0.338 -0.327
-1.471 -2.180 -0.767



Record 24
BiSbRh2, optimized geometry, DFT GGA-PBE; ΔE to the lowest computed polymorph = 289 meV/atom; space group = Fm-3m, No. 225; formation energy from raw total energies = -0.052 eV/atom; total moment = 0.0 μB per formula unit
1.0
0.000 3.368 3.368
3.368 0.000 3.368
3.368 3.368 0.000
Sb Rh Bi
1 2 1
Cartesian
0.000 0.000 0.000
1.684 1.684 1.684
5.051 5.051 5.051
3.368 3.368 3.368



Record 25
LaFeSi2, optimized geometry, DFT GGA-PBE; space group = P2/m, No. 10; formation energy from raw total energies = -0.161 eV/atom; total moment = 0.0 μB per formula unit
1.0
-1.626 1.244 3.421
-2.185 -2.170 -0.249
2.777 -4.431 2.931
Fe La Si
1 1 2
Cartesian
-0.665 -1.028 2.381
-0.369 -4.329 3.722
-0.063 -0.577 0.180
0.359 -2.723 1.161